Er2TmTe: relaxed, PBE-GGA.

Summary:
- energy relative to the lowest polymorph listed for this composition (meV/atom) = 115
- SG = No. 160

Lattice parameters (Å, degrees): 3.833 3.833 9.908 78.85 78.85 60.00
Fractional coordinates of all 4 atoms:
Er 0.073 0.073 0.780
Er 0.260 0.260 0.219
Tm 0.500 0.500 0.501
Te 0.667 0.667 0.000

Er2TmTe: relaxed, PBE-GGA.

Summary:
- energy relative to the lowest polymorph listed for this composition (meV/atom) = 20
- SG = No. 62

Lattice parameters (Å, degrees): 6.341 9.765 14.761 90.00 90.00 90.00
Fractional coordinates of all 32 atoms:
Er 0.031 0.033 0.218
Er 0.531 0.967 0.282
Er 0.969 0.533 0.782
Er 0.469 0.467 0.718
Er 0.969 0.967 0.782
Er 0.469 0.033 0.718
Er 0.031 0.467 0.218
Er 0.531 0.533 0.282
Er 0.738 0.538 0.030
Er 0.238 0.462 0.470
Er 0.262 0.038 0.970
Er 0.762 0.962 0.530
Er 0.262 0.462 0.970
Er 0.762 0.538 0.530
Er 0.738 0.962 0.030
Er 0.238 0.038 0.470
Tm 0.527 0.250 0.131
Tm 0.027 0.750 0.369
Tm 0.473 0.750 0.869
Tm 0.973 0.250 0.631
Tm 0.787 0.250 0.389
Tm 0.287 0.750 0.111
Tm 0.213 0.750 0.611
Tm 0.713 0.250 0.889
Te 0.302 0.250 0.316
Te 0.802 0.750 0.184
Te 0.698 0.750 0.684
Te 0.198 0.250 0.816
Te 0.988 0.250 0.066
Te 0.488 0.750 0.434
Te 0.012 0.750 0.934
Te 0.512 0.250 0.566

ErTm2Te4: relaxed, PBE-GGA.

Summary:
- energy relative to the lowest polymorph listed for this composition (meV/atom) = 0
- SG = No. 12

Lattice parameters (Å, degrees): 4.302 7.499 8.345 117.06 104.94 90.00
Fractional coordinates of all 7 atoms:
Er 0.000 0.000 0.000
Tm 0.745 0.760 0.489
Tm 0.255 0.240 0.511
Te 0.880 0.213 0.760
Te 0.120 0.787 0.240
Te 0.630 0.294 0.259
Te 0.370 0.706 0.741

Er2TmTe: relaxed, PBE-GGA.

Summary:
- energy relative to the lowest polymorph listed for this composition (meV/atom) = 129
- SG = No. 166

Lattice parameters (Å, degrees): 3.801 3.801 10.070 79.12 79.12 60.00
Fractional coordinates of all 4 atoms:
Tm 0.500 0.500 0.500
Te 0.000 0.000 0.000
Er 0.261 0.261 0.218
Er 0.739 0.739 0.782

Er4TmTe: relaxed, PBE-GGA.

Summary:
- SG = No. 36

Lattice parameters (Å, degrees): 5.591 6.880 10.985 90.00 104.74 90.00
Fractional coordinates of all 12 atoms:
Er 0.858 0.284 0.716
Er 0.142 0.784 0.284
Er 0.437 0.880 0.874
Er 0.563 0.380 0.126
Er 0.708 0.551 0.416
Er 0.292 0.051 0.584
Er 0.707 0.069 0.414
Er 0.293 0.569 0.586
Tm 0.841 0.806 0.683
Tm 0.159 0.306 0.317
Te 0.579 0.844 0.157
Te 0.421 0.344 0.843

Er2Tm3Te2: relaxed, PBE-GGA.

Summary:
- SG = No. 12

Lattice parameters (Å, degrees): 3.918 6.746 8.425 110.62 90.00 106.88
Fractional coordinates of all 7 atoms:
Er 0.866 0.733 0.205
Er 0.134 0.267 0.795
Tm 0.500 0.000 0.000
Tm 0.617 0.233 0.443
Tm 0.383 0.767 0.557
Te 0.818 0.637 0.795
Te 0.182 0.363 0.205

ErTm2Te4: relaxed, PBE-GGA.

Summary:
- energy relative to the lowest polymorph listed for this composition (meV/atom) = 56
- SG = No. 63

Lattice parameters (Å, degrees): 4.197 7.385 14.789 90.00 90.00 106.51
Fractional coordinates of all 14 atoms:
Er 0.629 0.258 0.750
Er 0.371 0.742 0.250
Tm 0.131 0.262 0.430
Tm 0.869 0.738 0.930
Tm 0.131 0.262 0.070
Tm 0.869 0.738 0.570
Te 0.778 0.557 0.121
Te 0.778 0.557 0.379
Te 0.222 0.443 0.879
Te 0.222 0.443 0.621
Te 0.970 0.939 0.750
Te 0.030 0.061 0.250
Te 0.500 0.000 0.000
Te 0.500 0.000 0.500

Y2ErTmTe5: relaxed, PBE-GGA.

Summary:
- SG = No. 123

Lattice parameters (Å, degrees): 5.500 5.500 11.440 90.00 90.00 90.00
Fractional coordinates of all 9 atoms:
Y 0.500 0.500 0.347
Y 0.500 0.500 0.653
Er 0.000 0.000 0.000
Tm 0.000 0.000 0.500
Te 0.000 0.500 0.500
Te 0.500 0.000 0.500
Te 0.000 0.000 0.754
Te 0.000 0.000 0.246
Te 0.500 0.500 0.000

Spin magnetization across the listed records, respectively: 0.0011; 0.0000; 0.0000; 0.0000; 0.0000; 0.0000; 0.0000; 0.0766 μB per atom.
Calculated total energy across the listed records, respectively: -4.69; -4.79; -5.07; -4.68; -4.48; -4.78; -5.01; -4.86 eV/atom.